Record 1
! PBE-GGA NbGaI2O, relaxed; values from VASP
! Excess energy over the best structure of this formula in the dataset, meV/atom: 0
! Formation energy without anion corrections, eV/atom: -0.68
! Symmetry: P4/mmm, No. 123
! Calculated total energy, eV/atom: -4.910
! Magnetization, μB per cell: 1.82
! Calculated volume, Å³/atom: 27.6
&SYSTEM
  ibrav = 0, nat = 5, ntyp = 4
/
ATOMIC_SPECIES
Nb 92.91 Nb.upf
I 126.90 I.upf
O 16.00 O.upf
Ga 69.72 Ga.upf
CELL_PARAMETERS angstrom
5.913 0.000 0.000
0.000 5.913 0.000
0.000 0.000 3.952
ATOMIC_POSITIONS crystal
Nb 0.000 0.000 0.000
I 0.000 0.500 0.000
I 0.500 0.000 0.000
O 0.000 0.000 0.500
Ga 0.500 0.500 0.500

Record 2
! PBE-GGA LiVAg2Se4, relaxed; values from VASP
! Formation energy without anion corrections, eV/atom: -0.50
! Symmetry: Fmm2, No. 42
! Calculated total energy, eV/atom: -4.336
! Magnetization, μB per cell: 0.00
! Calculated volume, Å³/atom: 25.6
&SYSTEM
  ibrav = 0, nat = 8, ntyp = 4
/
ATOMIC_SPECIES
Se 78.96 Se.upf
Li 6.94 Li.upf
Ag 107.87 Ag.upf
V 50.94 V.upf
CELL_PARAMETERS angstrom
-3.802 0.782 4.517
1.580 -5.293 2.225
5.285 4.794 -0.297
ATOMIC_POSITIONS crystal
Se 0.839 0.384 0.223
Se 0.616 0.616 0.777
Se 0.384 0.839 0.223
Se 0.160 0.160 0.777
Li 0.001 0.001 0.002
Ag 0.250 0.750 0.500
Ag 0.750 0.250 0.500
V 0.500 0.500 0.000

Record 3
! PBE-GGA EuMgHgPt, relaxed; values from VASP
! Formation enthalpy at 0 K, eV per atom: -0.55
! Symmetry: F-43m, No. 216
! Calculated total energy, eV/atom: -5.102
! Magnetization, μB per cell: 7.09
! Calculated volume, Å³/atom: 22.5
&SYSTEM
  ibrav = 0, nat = 4, ntyp = 4
/
ATOMIC_SPECIES
Pt 195.08 Pt.upf
Eu 151.96 Eu.upf
Hg 200.59 Hg.upf
Mg 24.30 Mg.upf
CELL_PARAMETERS angstrom
5.030 0.000 0.000
2.515 4.356 0.000
2.515 1.452 4.107
ATOMIC_POSITIONS crystal
Pt 0.750 0.750 0.750
Eu 0.000 0.000 0.000
Hg 0.250 0.250 0.250
Mg 0.500 0.500 0.500

Please write out number 3 again, unchanged.
! PBE-GGA EuMgHgPt, relaxed; values from VASP
! Formation enthalpy at 0 K, eV per atom: -0.55
! Symmetry: F-43m, No. 216
! Calculated total energy, eV/atom: -5.102
! Magnetization, μB per cell: 7.09
! Calculated volume, Å³/atom: 22.5
&SYSTEM
  ibrav = 0, nat = 4, ntyp = 4
/
ATOMIC_SPECIES
Pt 195.08 Pt.upf
Eu 151.96 Eu.upf
Hg 200.59 Hg.upf
Mg 24.30 Mg.upf
CELL_PARAMETERS angstrom
5.030 0.000 0.000
2.515 4.356 0.000
2.515 1.452 4.107
ATOMIC_POSITIONS crystal
Pt 0.750 0.750 0.750
Eu 0.000 0.000 0.000
Hg 0.250 0.250 0.250
Mg 0.500 0.500 0.500